[1]
The following is a PBE-GGA calculation of an optimized crystal structure of ReAg2, from the Alexandria database.

It has space group I4/mmm (No. 139), with a = 2.6970 Å, b = 2.6970 Å, c = 13.6439 Å, α = 90.00°, β = 90.00° and γ = 90.00°. The inequivalent atoms are Re at (0.0000, 0.0000, 0.0000) and Ag at (0.0000, 0.0000, 0.3355).

Its energy relative to the lowest polymorph listed for this composition is 0.48 eV/f.u. The calculation puts the formation energy at 0.577 eV per atom.

---

[2]
The following is a PBE-GGA calculation of an optimized crystal structure of PrCd4Hg3, from the Alexandria database.

It has space group C2/m (No. 12), with a = 8.6411 Å, b = 4.9877 Å, c = 9.8089 Å, α = 90.00°, β = 111.12° and γ = 90.00°. The inequivalent atoms are Pr at (0.0000, 0.0000, 0.0000), Cd at (0.1351, 0.0000, 0.3818), Cd at (0.2389, 0.0000, 0.7621), Hg at (0.0000, 0.5000, 0.5000) and Hg at (0.1025, 0.5000, 0.8434).

The calculation puts the formation energy at -0.185 eV per atom.

---

[3]
The following is a PBE-GGA calculation of an optimized crystal structure of OsSeBr2N, from the Alexandria database.

It has space group P4/mmm (No. 123), with a = 4.3657 Å, b = 4.3657 Å, c = 4.9574 Å, α = 90.00°, β = 90.00° and γ = 90.00°. The inequivalent atoms are Os at (0.0000, 0.0000, 0.0000), Se at (0.5000, 0.5000, 0.0000), Br at (0.0000, 0.5000, 0.5000) and N at (0.5000, 0.5000, 0.5000).

Its energy relative to the lowest polymorph listed for this composition is 0.83 eV/f.u. The calculation puts the uncorrected formation energy at 9.54 eV per formula unit.

---

[4]
The following is a PBE-GGA calculation of an optimized crystal structure of CrTcC2, from the Alexandria database.

It has space group I-42d (No. 122), with a = 4.5160 Å, b = 4.5160 Å, c = 8.9676 Å, α = 90.00°, β = 90.00° and γ = 90.00°. The inequivalent atoms are Cr at (0.0000, 0.0000, 0.0000), Tc at (0.0000, 0.0000, 0.5000) and C at (0.2348, 0.2500, 0.1250).

Its energy relative to the lowest polymorph listed for this composition is 0.00 eV/f.u. The calculation puts the formation energy at 0.560 eV per atom.